*1*
First-principles (PBE) data for an optimized crystal structure of Ga2OsW, as listed in Alexandria via LeMat-Bulk.

a b c (Å): 6.1849 6.1849 6.1849
angles (deg): 90.00 90.00 90.00
Last column: nearest neighbours and their distance in Å.
Space group Fm-3m (No. 225)
Inequivalent atoms, fractional coordinates:
Ga (0.2500, 0.2500, 0.2500) x8  4 W 2.68, 4 Os 2.68
Os (0.0000, 0.0000, 0.0000) x4  8 Ga 2.68
W (0.0000, 0.0000, 0.5000) x4  8 Ga 2.68

Output
Its crystal system is cubic. As for the total magnetization: 1.011 μB per formula unit.

*2*
First-principles (PBE) data for an optimized crystal structure of Ga2OsW, as listed in Alexandria via LeMat-Bulk.

a b c (Å): 7.0121 7.0121 5.3412
angles (deg): 90.00 90.00 90.00
Last column: nearest neighbours and their distance in Å.
Space group I-42d (No. 122)
Inequivalent atoms, fractional coordinates:
Ga (0.2353, 0.2500, 0.1250) x8  2 Os 2.50, 2 W 2.64, 2 Ga 2.68
Os (0.0000, 0.0000, 0.0000) x4  4 Ga 2.50, 2 W 2.67
W (0.0000, 0.0000, 0.5000) x4  4 Ga 2.64, 2 Os 2.67

Output
Its crystal system is tetragonal. As for the total magnetization: 0.000 μB per formula unit.

Most stable: *1*. Least stable: *2*.

*1*
First-principles (PBE) data for an optimized crystal structure of Y2Ga2Os, as listed in Alexandria via LeMat-Bulk.

a b c (Å): 6.9697 6.9697 4.2059
angles (deg): 90.00 90.00 90.00
Last column: nearest neighbours and their distance in Å.
Space group P4/mbm (No. 127)
Inequivalent atoms, fractional coordinates:
Y (0.1797, 0.3203, 0.0000) x4  6 Ga 2.82-3.03
Ga (0.1296, 0.6296, 0.5000) x4  1 Ga 2.55, 2 Os 2.74, 2 Y 2.82
Os (0.0000, 0.0000, 0.5000) x2  4 Ga 2.74

Output
Its crystal system is tetragonal. As for the total magnetization: 0.057 μB per formula unit.

*2*
First-principles (PBE) data for an optimized crystal structure of Y2Ga2Os, as listed in Alexandria via LeMat-Bulk.

a b c (Å): 10.9233 4.2055 10.4895
angles (deg): 90.00 117.01 90.00
Last column: nearest neighbours and their distance in Å.
Space group C2/m (No. 12)
Inequivalent atoms, fractional coordinates:
Y (0.0058, 0.0000, 0.3299) x4  6 Ga 3.01-3.22, 4 Os 3.06-3.34
Y (0.1917, 0.0000, 0.1205) x4  6 Ga 3.02-3.22, 2 Os 3.11
Ga (0.0154, 0.5000, 0.8842) x4  1 Ga 2.60, 1 Os 2.62
Ga (0.1457, 0.5000, 0.5570) x4  3 Os 2.50-2.62
Os (0.2178, 0.5000, 0.3504) x4  4 Ga 2.50-2.62

Output
Its crystal system is monoclinic. As for the total magnetization: 0.000 μB per formula unit.

Most stable: *2*. Least stable: *1*.

*1*
First-principles (PBE) data for an optimized crystal structure of ZnGa3Os, as listed in Alexandria via LeMat-Bulk.

a b c (Å): 4.8406 4.8406 4.8406
angles (deg): 90.00 90.00 90.00
Last column: nearest neighbours and their distance in Å.
Space group Pm-3m (No. 221)
Inequivalent atoms, fractional coordinates:
Zn (0.0000, 0.0000, 0.0000) x1  12 Ga 3.42
Ga (0.0000, 0.5000, 0.5000) x3  2 Os 2.42
Os (0.5000, 0.5000, 0.5000) x1  6 Ga 2.42

Output
Its crystal system is cubic. As for the total magnetization: 0.000 μB per formula unit.

*2*
First-principles (PBE) data for an optimized crystal structure of ZnGa3Os, as listed in Alexandria via LeMat-Bulk.

a b c (Å): 4.6393 4.6393 4.6393
angles (deg): 90.00 90.00 90.00
Last column: nearest neighbours and their distance in Å.
Space group Pm-3m (No. 221)
Inequivalent atoms, fractional coordinates:
Zn (0.0000, 0.0000, 0.0000) x1  6 Ga 2.32
Ga (0.0000, 0.0000, 0.5000) x3  2 Zn 2.32
Os (0.5000, 0.5000, 0.5000) x1  12 Ga 3.28

Output
Its crystal system is cubic. As for the total magnetization: 1.773 μB per formula unit.

Most stable: *1*. Least stable: *2*.

*1*
First-principles (PBE) data for an optimized crystal structure of Zn3GaOs, as listed in Alexandria via LeMat-Bulk.

a b c (Å): 4.5725 4.5725 4.5725
angles (deg): 90.00 90.00 90.00
Last column: nearest neighbours and their distance in Å.
Space group Pm-3m (No. 221)
Inequivalent atoms, fractional coordinates:
Zn (0.0000, 0.0000, 0.5000) x3  2 Ga 2.29
Ga (0.0000, 0.0000, 0.0000) x1  6 Zn 2.29
Os (0.5000, 0.5000, 0.5000) x1  12 Zn 3.23

Output
Its crystal system is cubic. As for the total magnetization: 2.730 μB per formula unit.

*2*
First-principles (PBE) data for an optimized crystal structure of Zn3GaOs, as listed in Alexandria via LeMat-Bulk.

a b c (Å): 4.8347 4.8347 4.8347
angles (deg): 90.00 90.00 90.00
Last column: nearest neighbours and their distance in Å.
Space group Pm-3m (No. 221)
Inequivalent atoms, fractional coordinates:
Zn (0.0000, 0.0000, 0.5000) x3  2 Os 2.42
Ga (0.5000, 0.5000, 0.5000) x1  12 Zn 3.42
Os (0.0000, 0.0000, 0.0000) x1  6 Zn 2.42

Output
Its crystal system is cubic. As for the total magnetization: 0.000 μB per formula unit.

Most stable: *2*. Least stable: *1*.

*1*
First-principles (PBE) data for an optimized crystal structure of ZrGaOs3, as listed in Alexandria via LeMat-Bulk.

a b c (Å): 4.4986 4.4986 4.4986
angles (deg): 90.00 90.00 90.00
Last column: nearest neighbours and their distance in Å.
Space group Pm-3m (No. 221)
Inequivalent atoms, fractional coordinates:
Zr (0.0000, 0.0000, 0.0000) x1  12 Os 3.18
Ga (0.5000, 0.5000, 0.5000) x1  6 Os 2.25
Os (0.0000, 0.5000, 0.5000) x3  2 Ga 2.25

Output
Its crystal system is cubic. As for the total magnetization: 0.000 μB per formula unit.

*2*
First-principles (PBE) data for an optimized crystal structure of ZrGaOs3, as listed in Alexandria via LeMat-Bulk.

a b c (Å): 4.8648 4.8648 4.8648
angles (deg): 90.00 90.00 90.00
Last column: nearest neighbours and their distance in Å.
Space group Pm-3m (No. 221)
Inequivalent atoms, fractional coordinates:
Zr (0.0000, 0.0000, 0.0000) x1  6 Os 2.43
Ga (0.5000, 0.5000, 0.5000) x1  12 Os 3.44
Os (0.0000, 0.0000, 0.5000) x3  2 Zr 2.43

Output
Its crystal system is cubic. As for the total magnetization: 2.982 μB per formula unit.

Most stable: *1*. Least stable: *2*.

*1*
First-principles (PBE) data for an optimized crystal structure of ZrGa3Os, as listed in Alexandria via LeMat-Bulk.

a b c (Å): 4.7142 4.7142 4.7142
angles (deg): 90.00 90.00 90.00
Last column: nearest neighbours and their distance in Å.
Space group Pm-3m (No. 221)
Inequivalent atoms, fractional coordinates:
Zr (0.0000, 0.0000, 0.0000) x1  12 Ga 3.33
Ga (0.0000, 0.5000, 0.5000) x3  2 Os 2.36
Os (0.5000, 0.5000, 0.5000) x1  6 Ga 2.36

Output
Its crystal system is cubic. As for the total magnetization: 0.821 μB per formula unit.

*2*
First-principles (PBE) data for an optimized crystal structure of ZrGa3Os, as listed in Alexandria via LeMat-Bulk.

a b c (Å): 4.9581 4.9581 4.9581
angles (deg): 90.00 90.00 90.00
Last column: nearest neighbours and their distance in Å.
Space group Pm-3m (No. 221)
Inequivalent atoms, fractional coordinates:
Zr (0.0000, 0.0000, 0.0000) x1  6 Ga 2.48
Ga (0.0000, 0.0000, 0.5000) x3  2 Zr 2.48
Os (0.5000, 0.5000, 0.5000) x1  12 Ga 3.51

Output
Its crystal system is cubic. As for the total magnetization: 0.000 μB per formula unit.

Most stable: *1*. Least stable: *2*.

*1*
First-principles (PBE) data for an optimized crystal structure of GaP, as listed in Alexandria via LeMat-Bulk.

a b c (Å): 6.7788 6.7788 6.7788
angles (deg): 90.00 90.00 90.00
Last column: nearest neighbours and their distance in Å.
Space group Pm-3n (No. 223)
Inequivalent atoms, fractional coordinates:
Ga (0.0000, 0.2500, 0.5000) x6  4 P 2.40
P (0.0000, 0.5000, 0.2500) x6  4 Ga 2.40

Output
Its crystal system is cubic. As for the total magnetization: 0.000 μB per formula unit.

*2*
First-principles (PBE) data for an optimized crystal structure of GaP, as listed in Alexandria via LeMat-Bulk.

a b c (Å): 3.8973 11.9188 5.9127
angles (deg): 90.00 90.00 90.00
Last column: nearest neighbours and their distance in Å.
Space group Pmmn (No. 59, origin choice 2)
Inequivalent atoms, fractional coordinates:
Ga (0.2500, 0.1037, 0.0963) x4  4 P 2.37-2.44
Ga (0.2500, 0.7500, 0.4039) x2  4 P 2.37-2.38
P (0.2500, 0.2500, 0.3676) x2  4 Ga 2.37
P (0.2500, 0.5996, 0.1387) x4  4 Ga 2.38-2.44

Output
Its crystal system is orthorhombic. As for the total magnetization: 0.000 μB per formula unit.

*3*
First-principles (PBE) data for an optimized crystal structure of GaP, as listed in Alexandria via LeMat-Bulk.

a b c (Å): 2.5793 2.5793 5.2484
angles (deg): 90.00 90.00 90.00
Last column: nearest neighbours and their distance in Å.
Space group P4/mmm (No. 123)
Inequivalent atoms, fractional coordinates:
Ga (0.0000, 0.0000, 0.0000) x1  4 Ga 2.58, 2 P 2.62
P (0.0000, 0.0000, 0.5000) x1  4 P 2.58, 2 Ga 2.62

Output
Its crystal system is tetragonal. As for the total magnetization: 0.000 μB per formula unit.

Most stable: *2*. Least stable: *3*.

*1*
First-principles (PBE) data for an optimized crystal structure of GaP, as listed in Alexandria via LeMat-Bulk.

a b c (Å): 7.5338 7.5338 7.5338
angles (deg): 90.00 90.00 90.00
Last column: nearest neighbours and their distance in Å.
Space group I-43m (No. 217)
Inequivalent atoms, fractional coordinates:
Ga (0.1574, 0.1574, 0.8426) x8  4 P 2.33-2.42
P (0.1642, 0.1642, 0.1642) x8  4 Ga 2.33-2.42

Output
Its crystal system is cubic. As for the total magnetization: 0.000 μB per formula unit.

*2*
First-principles (PBE) data for an optimized crystal structure of GaP, as listed in Alexandria via LeMat-Bulk.

a b c (Å): 10.1185 10.1185 3.8937
angles (deg): 90.00 90.00 90.00
Last column: nearest neighbours and their distance in Å.
Space group I4/m (No. 87)
Inequivalent atoms, fractional coordinates:
Ga (0.1213, 0.2920, 0.0000) x8  4 P 2.36-2.44
P (0.1113, 0.7188, 0.0000) x8  4 Ga 2.36-2.44

Output
Its crystal system is tetragonal. As for the total magnetization: 0.000 μB per formula unit.

Most stable: *2*. Least stable: *1*.

*1*
First-principles (PBE) data for an optimized crystal structure of GaP2, as listed in Alexandria via LeMat-Bulk.

a b c (Å): 9.8707 3.7612 6.9878
angles (deg): 90.00 105.25 90.00
Last column: nearest neighbours and their distance in Å.
Space group Cm (No. 8)
Inequivalent atoms, fractional coordinates:
Ga (0.0000, 0.0000, 0.0000) x2  3 P 2.39-2.47, 1 Ga 2.51
Ga (0.2341, 0.0000, 0.2529) x2  3 P 2.37-2.48, 1 Ga 2.51
P (0.0904, 0.0000, 0.4960) x2  3 P 2.23-2.31, 1 Ga 2.48
P (0.1185, 0.5000, 0.6950) x2  3 P 2.18-2.31
P (0.3827, 0.5000, 0.2719) x2  1 P 2.23, 3 Ga 2.37-2.47
P (0.4244, 0.0000, 0.7882) x2  1 P 2.18, 2 Ga 2.39

Output
Its crystal system is monoclinic. As for the total magnetization: 0.000 μB per formula unit.

*2*
First-principles (PBE) data for an optimized crystal structure of GaP2, as listed in Alexandria via LeMat-Bulk.

a b c (Å): 11.2152 4.9184 5.0437
angles (deg): 90.00 98.59 90.00
Last column: nearest neighbours and their distance in Å.
Space group C2 (No. 5)
Inequivalent atoms, fractional coordinates:
Ga (0.1132, 0.0000, 0.0664) x4  3 P 2.44-2.47, 1 Ga 2.53
P (0.1332, 0.6387, 0.4051) x4  2 P 2.18-2.21
P (0.2424, 0.8444, 0.7404) x4  2 P 2.18-2.21, 1 Ga 2.44

Output
Its crystal system is monoclinic. As for the total magnetization: 0.000 μB per formula unit.

*3*
First-principles (PBE) data for an optimized crystal structure of GaP2, as listed in Alexandria via LeMat-Bulk.

a b c (Å): 7.6594 6.5009 4.8754
angles (deg): 90.00 93.28 90.00
Last column: nearest neighbours and their distance in Å.
Space group C2 (No. 5)
Inequivalent atoms, fractional coordinates:
Ga (0.1440, 0.0000, 0.1932) x4  4 P 2.46-2.63
P (0.1260, 0.3986, 0.1104) x4  2 P 2.16-2.19
P (0.1324, 0.6400, 0.4232) x4  2 P 2.19-2.20

Output
Its crystal system is monoclinic. As for the total magnetization: 0.000 μB per formula unit.

*4*
First-principles (PBE) data for an optimized crystal structure of GaP2, as listed in Alexandria via LeMat-Bulk.

a b c (Å): 4.6538 5.3166 5.6100
angles (deg): 72.93 81.68 76.34
Last column: nearest neighbours and their distance in Å.
Space group P-1 (No. 2)
Inequivalent atoms, fractional coordinates:
Ga (0.0720, 0.3857, 0.2131) x2  3 P 2.41-2.51, 1 Ga 2.45
P (0.2935, 0.6379, 0.4282) x2  2 P 2.20-2.22, 1 Ga 2.43
P (0.4780, 0.0044, 0.3008) x2  2 P 2.20-2.26, 1 Ga 2.41

Output
Its crystal system is triclinic. As for the total magnetization: 0.000 μB per formula unit.

Most stable: *2*. Least stable: *1*.

*1*
First-principles (PBE) data for an optimized crystal structure of GaP2, as listed in Alexandria via LeMat-Bulk.

a b c (Å): 4.5662 5.4575 5.5614
angles (deg): 78.18 70.18 79.21
Last column: nearest neighbours and their distance in Å.
Space group P1 (No. 1)
Inequivalent atoms, fractional coordinates:
Ga (0.0000, 0.0000, 0.0000) x1  4 P 2.33-2.47
Ga (0.2455, 0.3897, 0.4026) x1  4 P 2.38-2.57
P (0.4526, 0.2183, 0.7659) x1  2 P 2.20-2.21, 2 Ga 2.42-2.46
P (0.6419, 0.4004, 0.9924) x1  1 P 2.21, 2 Ga 2.38-2.47
P (0.8409, 0.7365, 0.3944) x1  1 P 2.20, 2 Ga 2.33-2.39
P (0.9183, 0.0194, 0.5885) x1  2 P 2.20, 1 Ga 2.42

Output
Its crystal system is triclinic. As for the total magnetization: 0.000 μB per formula unit.

*2*
First-principles (PBE) data for an optimized crystal structure of GaP2, as listed in Alexandria via LeMat-Bulk.

a b c (Å): 4.0044 5.2550 7.1050
angles (deg): 69.66 89.02 69.62
Last column: nearest neighbours and their distance in Å.
Space group P1 (No. 1)
Inequivalent atoms, fractional coordinates:
Ga (0.0000, 0.0000, 0.0000) x1  4 P 2.35-2.52
Ga (0.3412, 0.3048, 0.5155) x1  4 P 2.36-2.50
P (0.3500, 0.2917, 0.8599) x1  1 P 2.20, 2 Ga 2.39-2.42
P (0.9032, 0.7680, 0.3334) x1  1 P 2.19, 2 Ga 2.35-2.36
P (0.9225, 0.7148, 0.8151) x1  2 P 2.20-2.21, 1 Ga 2.40
P (0.9592, 0.0158, 0.5152) x1  2 P 2.19-2.21, 1 Ga 2.41

Output
Its crystal system is triclinic. As for the total magnetization: 0.000 μB per formula unit.

Most stable: *2*. Least stable: *1*.

*1*
First-principles (PBE) data for an optimized crystal structure of PaGaP2, as listed in Alexandria via LeMat-Bulk.

a b c (Å): 4.3921 4.3921 3.6623
angles (deg): 90.00 90.00 90.00
Last column: nearest neighbours and their distance in Å.
Space group P4/mmm (No. 123)
Inequivalent atoms, fractional coordinates:
Pa (0.0000, 0.0000, 0.0000) x1  8 P 2.86, 4 Ga 3.11
Ga (0.5000, 0.5000, 0.0000) x1  8 P 2.86, 4 Pa 3.11
P (0.0000, 0.5000, 0.5000) x2  4 Pa 2.86, 4 Ga 2.86, 4 P 3.11

Output
Its crystal system is tetragonal. As for the total magnetization: 0.000 μB per formula unit.

*2*
First-principles (PBE) data for an optimized crystal structure of PaGaP2, as listed in Alexandria via LeMat-Bulk.

a b c (Å): 4.0882 4.0882 23.3631
angles (deg): 90.00 90.00 120.00
Last column: nearest neighbours and their distance in Å.
Space group R-3m (No. 166, hexagonal axes)
Inequivalent atoms, fractional coordinates:
Pa (0.0000, 0.0000, 0.0000) x3  6 P 2.75
Ga (0.0000, 0.0000, 0.5000) x3  2 P 2.48
P (0.0000, 0.0000, 0.3940) x6  1 Ga 2.48, 3 Pa 2.75

Output
Its crystal system is trigonal. As for the total magnetization: 0.000 μB per formula unit.

Most stable: *1*. Least stable: *2*.